1.
Compound: Sc2MnTe
Source: Alexandria via LeMat-Bulk
Functional: PBE
Structure: optimized geometry

Summary:
For the electronic total energy, the calculation gives -26.09 eV for the cell shown. Its total magnetization is 3.6 μB per cell. For the formation energy without anion corrections, the calculation gives -280 meV per atom. The density of states at the Fermi level is 4.56 states/eV/cell.

Structure (POSCAR):
```
Sc2MnTe
1.0
3.778 0.000 0.000
0.000 3.778 0.000
0.000 0.000 6.048
Sc Mn Te
2 1 1
direct
0.000 0.000 0.000
0.500 0.500 0.286
0.500 0.500 0.789
0.000 0.000 0.510
```



2.
Compound: AcAl2AgGe
Source: Alexandria via LeMat-Bulk
Functional: PBE
Structure: optimized geometry

Summary:
For the electronic total energy, the calculation gives -21.11 eV for the cell shown. Its total magnetization is 0.0 μB per cell. Its formation energy is -2.048 eV per formula unit. The density of states at the Fermi level is 1.62 states/eV/cell.

Structure (POSCAR):
```
AcAl2AgGe
1.0
-2.227 2.259 5.513
2.227 -2.259 5.513
2.227 2.259 -5.513
Ac Al Ag Ge
1 2 1 1
direct
0.000 0.000 0.000
0.375 0.375 0.000
0.745 0.245 0.500
0.251 0.751 0.500
0.607 0.607 0.000
```



3.
Compound: TlGaSnSe4
Source: Alexandria via LeMat-Bulk
Functional: PBE
Structure: optimized geometry

Summary:
For the electronic total energy, the calculation gives -52.45 eV for the cell shown. Its total magnetization is 0.0 μB per cell. For the formation energy without anion corrections, the calculation gives -413 meV per atom.

Structure (POSCAR):
```
TlGaSnSe4
1.0
6.569 0.000 0.000
0.000 7.901 0.000
-1.895 0.000 8.694
Tl Ga Sn Se
2 2 2 8
direct
0.188 0.250 0.063
0.812 0.750 0.937
0.200 0.750 0.312
0.800 0.250 0.688
0.306 0.250 0.681
0.694 0.750 0.319
0.048 0.014 0.721
0.048 0.486 0.721
0.377 0.750 0.093
0.494 0.750 0.535
0.506 0.250 0.465
0.623 0.250 0.907
0.952 0.514 0.279
0.952 0.986 0.279
```



4.
Compound: Na2AgRu
Source: Alexandria via LeMat-Bulk
Functional: PBE
Structure: optimized geometry

Summary:
For the electronic total energy, the calculation gives -22.36 eV for the cell shown. Its total magnetization is 3.5 μB per cell. Its formation energy is 3.587 eV per formula unit. For the energy above the lowest structure with this stoichiometry, the calculation gives 0.0538 eV/atom. The density of states at the Fermi level is 7.57 states/eV/cell.

Structure (POSCAR):
```
Na2AgRu
1.0
-3.977 3.977 2.764
3.977 -3.977 2.764
3.977 3.977 -2.764
Na Ag Ru
4 2 2
direct
0.118 0.625 0.993
0.375 0.368 0.493
0.632 0.125 0.007
0.875 0.882 0.507
0.000 0.000 0.000
0.750 0.250 0.500
0.250 0.750 0.500
0.500 0.500 0.000
```



5.
Compound: TaSi4P
Source: Alexandria via LeMat-Bulk
Functional: PBE
Structure: optimized geometry

Summary:
For the electronic total energy, the calculation gives -36.94 eV for the cell shown. Its total magnetization is 0.0 μB per cell. For the formation energy without anion corrections, the calculation gives 335 meV per atom. The density of states at the Fermi level is 2.16 states/eV/cell.

Structure (POSCAR):
```
TaSi4P
1.0
0.000 3.506 3.506
3.506 0.000 3.506
3.506 3.506 0.000
Ta Si P
1 4 1
direct
0.000 0.000 0.000
0.376 0.376 0.376
0.376 0.376 0.871
0.376 0.871 0.376
0.871 0.376 0.376
0.750 0.750 0.750
```



6.
Compound: CrFeRe
Source: Alexandria via LeMat-Bulk
Functional: PBE
Structure: optimized geometry

Summary:
For the electronic total energy, the calculation gives -61.28 eV for the cell shown. Its total magnetization is 0.1 μB per cell. Its formation energy is -0.107 eV per formula unit. For the energy above the lowest structure with this stoichiometry, the calculation gives 0.0000 eV/atom. The density of states at the Fermi level is 4.58 states/eV/cell.

Structure (POSCAR):
```
CrFeRe
1.0
-2.309 2.393 3.295
2.309 -2.393 3.295
2.309 2.393 -3.295
Cr Fe Re
2 2 2
direct
0.500 0.000 0.000
0.500 0.500 0.500
0.000 0.000 0.000
0.500 0.000 0.500
0.120 0.370 0.750
0.880 0.630 0.250
```